# 1
Density functional theory data (PBE) for a geometry-optimized K6Na3Ti2Al2Si8Cl3O26 structure.

abc: 9.237 9.774 9.775
angles: 115.05 98.22 98.29
Space group P-1 (No. 2)
Symmetry-distinct sites (fractional):
K1 0.107 0.351 0.068 x2
K2 0.108 0.068 0.350 x2
K3 0.353 0.098 0.094 x2
Na1 0.000 0.500 0.500 x1
Na2 0.500 0.383 0.617 x2
Ti1 0.500 0.000 0.500 x1
Ti2 0.500 0.500 0.000 x1
Al1 0.000 0.316 0.684 x2
Si1 0.265 0.628 0.824 x2
Si2 0.265 0.824 0.628 x2
Si3 0.276 0.162 0.736 x2
Si4 0.277 0.736 0.162 x2
Cl1 0.000 0.000 0.000 x1
Cl2 0.277 0.379 0.379 x2
O1 0.102 0.505 0.738 x2
O2 0.102 0.738 0.506 x2
O3 0.109 0.181 0.674 x2
O4 0.109 0.675 0.181 x2
O5 0.252 0.754 0.998 x2
O6 0.252 0.998 0.754 x2
O7 0.299 0.733 0.732 x2
O8 0.352 0.298 0.910 x2
O9 0.353 0.911 0.298 x2
O10 0.369 0.138 0.600 x2
O11 0.369 0.600 0.138 x2
O12 0.403 0.546 0.835 x2
O13 0.403 0.835 0.546 x2

Calculated values
crystal system = triclinic
raw total energy = -6.873 eV/atom

# 2
Density functional theory data (PBE) for a geometry-optimized TbNp2Se4 structure.

abc: 8.192 8.235 11.544
angles: 90.00 90.00 90.00
Space group Imma (No. 74)
Symmetry-distinct sites (fractional):
Tb1 0.250 0.250 0.250 x4
Np1 0.000 0.000 0.000 x4
Np2 0.250 0.250 0.750 x4
Se1 0.000 0.001 0.256 x8
Se2 0.246 0.250 0.002 x8

Calculated values
crystal system = orthorhombic
E above lowest polymorph = 0.007 eV/atom

# 3
Density functional theory data (PBE) for a geometry-optimized KHf3Cl structure.

abc: 4.957 4.957 4.957
angles: 90.00 90.00 90.00
Space group Pm-3m (No. 221)
Symmetry-distinct sites (fractional):
K1 0.000 0.000 0.000 x1
Hf1 0.000 0.500 0.500 x3
Cl1 0.500 0.500 0.500 x1

Calculated values
crystal system = cubic
E above lowest polymorph = 0.000 eV/atom

# 4
Density functional theory data (PBE) for a geometry-optimized AlReOs structure.

abc: 2.896 2.896 10.189
angles: 90.00 90.00 90.00
Space group I4mm (No. 107)
Symmetry-distinct sites (fractional):
Al1 0.000 0.000 0.000 x2
Re1 0.000 0.000 0.671 x2
Os1 0.000 0.000 0.338 x2

Calculated values
formation energy from the elements = -0.269 eV per atom
crystal system = tetragonal

# 5
Density functional theory data (PBE) for a geometry-optimized La3Tb6SmY2 structure.

abc: 6.265 10.857 11.959
angles: 90.00 100.06 90.00
Space group C2/m (No. 12)
Symmetry-distinct sites (fractional):
La1 0.000 0.000 0.000 x2
La2 0.000 0.333 0.000 x4
Tb1 0.248 0.000 0.746 x4
Tb2 0.248 0.333 0.746 x8
Sm1 0.000 0.500 0.500 x2
Y1 0.000 0.167 0.500 x4

Calculated values
formation energy from the elements = 0.019 eV per atom
crystal system = monoclinic

# 6
Density functional theory data (PBE) for a geometry-optimized TaCrP2 structure.

abc: 8.546 3.127 4.292
angles: 90.00 104.15 90.00
Space group Cm (No. 8)
Symmetry-distinct sites (fractional):
Ta1 0.000 0.000 0.000 x2
Cr1 0.284 0.500 0.398 x2
P1 0.004 0.500 0.503 x2
P2 0.266 0.000 0.867 x2

Calculated values
formation energy from the elements = -0.412 eV per atom
crystal system = monoclinic
E above lowest polymorph = 0.232 eV/atom

# 7
Density functional theory data (PBE) for a geometry-optimized Tb7Nd3Sm structure.

abc: 7.1209 7.1209 8.7384
angles: 90.00 90.00 120.00
Space group P3m1 (No. 156)
Symmetry-distinct sites (fractional):
Tb1 0.0000 0.0000 0.0000 x1
Tb2 0.1658 0.3315 0.6765 x3
Tb3 0.5008 0.0015 0.0031 x3
Nd1 0.3330 0.1665 0.3389 x3
Sm1 0.6667 0.3333 0.6786 x1

Calculated values
formation energy from the elements = 0.175 eV per atom
crystal system = trigonal
E above lowest polymorph = 0.037 eV/atom

# 8
Density functional theory data (PBE) for a geometry-optimized La3Ge4Ir structure.

abc: 4.665 5.949 15.028
angles: 90.00 90.00 90.00
Space group Immm (No. 71)
Symmetry-distinct sites (fractional):
La1 0.000 0.000 0.000 x2
La2 0.000 0.500 0.191 x4
Ge1 0.000 0.286 0.380 x8
Ir1 0.000 0.000 0.500 x2

Calculated values
formation energy from the elements = -0.684 eV per atom
crystal system = orthorhombic

# 9
Density functional theory data (PBE) for a geometry-optimized ZrTe structure.

abc: 3.680 10.771 4.956
angles: 90.00 90.00 90.00
Space group Cmcm (No. 63)
Symmetry-distinct sites (fractional):
Zr1 0.000 0.092 0.250 x4
Te1 0.000 0.377 0.250 x4

Calculated values
crystal system = orthorhombic
raw total energy = -6.576 eV/atom

# 10
Density functional theory data (PBE) for a geometry-optimized YMg14Ga structure.

abc: 6.4911 6.4911 10.1507
angles: 90.00 90.00 120.00
Space group P-6m2 (No. 187)
Symmetry-distinct sites (fractional):
Y1 0.0000 0.0000 0.0000 x1
Mg1 0.0124 0.5062 0.0000 x3
Mg2 0.1646 0.3293 0.2599 x6
Mg3 0.5042 0.0084 0.5000 x3
Mg4 0.6667 0.3333 0.2410 x2
Ga1 0.0000 0.0000 0.5000 x1

Calculated values
formation energy from the elements = -0.017 eV per atom
crystal system = hexagonal
E above lowest polymorph = 0.027 eV/atom

# 11
Density functional theory data (PBE) for a geometry-optimized AsRuPb2 structure.

abc: 4.913 4.913 3.661
angles: 90.00 90.00 90.00
Space group P4/mmm (No. 123)
Symmetry-distinct sites (fractional):
As1 0.000 0.000 0.000 x1
Ru1 0.500 0.500 0.000 x1
Pb1 0.000 0.500 0.500 x2

Calculated values
formation energy from the elements = 0.536 eV per atom
crystal system = tetragonal

# 12
Density functional theory data (PBE) for a geometry-optimized Fe2CoPd3 structure.

abc: 3.794 11.491 3.773
angles: 90.00 90.00 90.00
Space group Cmmm (No. 65)
Symmetry-distinct sites (fractional):
Fe1 0.000 0.163 0.000 x4
Co1 0.000 0.500 0.000 x2
Pd1 0.000 0.000 0.500 x2
Pd2 0.000 0.334 0.500 x4

Calculated values
formation energy from the elements = -0.027 eV per atom
crystal system = orthorhombic